A relaxed structure of Hg4GeI2Br. Source: Alexandria via LeMat-Bulk, functional PBE-GGA.

Cell lengths 9.7715, 8.5626, 7.8356 Å; angles 90.00, 90.00, 90.00 degrees
Closest atoms and distances in Å follow each position.
Fractional positions:
Hg 0.0000 0.1309 0.0000  1 Ge 2.61
Hg 0.0000 0.8575 0.6048  1 Ge 2.62
Hg 0.2275 0.3179 0.6382  1 Ge 2.62
Hg 0.2725 0.6821 0.1382  1 Ge 2.62
Hg 0.5000 0.1425 0.1048  1 Ge 2.62
Hg 0.5000 0.8691 0.5000  1 Ge 2.61
Hg 0.7275 0.6821 0.1382  1 Ge 2.62
Hg 0.7725 0.3179 0.6382  1 Ge 2.62
Ge 0.0000 0.1577 0.6678  4 Hg 2.61-2.62
Ge 0.5000 0.8423 0.1678  4 Hg 2.61-2.62
I 0.2408 0.3311 0.1935  3 Hg 3.05-3.28
I 0.2592 0.6689 0.6935  3 Hg 3.05-3.28
I 0.7408 0.6689 0.6935  3 Hg 3.05-3.28
I 0.7592 0.3311 0.1935  3 Hg 3.05-3.28
Br 0.0000 0.8237 0.1978  4 Hg 2.96-3.20
Br 0.5000 0.1763 0.6978  4 Hg 2.96-3.20

Computed properties:
For the formation energy without anion corrections, the calculation gives -120 meV per atom. The size of the total moment comes out at 0.00 μB/cell.